VASP calculation (PBE-GGA) on a relaxed structure of La2SeBrF2.

It has space group P-3m1 (No. 164), with a = 4.2094 Å, b = 4.2094 Å, c = 8.7091 Å, α = 90.00°, β = 90.00° and γ = 120.00°. The distinct sites, in fractional coordinates, are La at (0.3333, 0.6667, 0.2222), Se at (0.0000, 0.0000, 0.0000), Br at (0.0000, 0.0000, 0.5000) and F at (0.3333, 0.6667, 0.7388).

The value obtained for the total energy is -0.4409 Ry/atom. Its density is 5.90 g/cm3. The calculation puts the spin magnetization at 0.00 μB per formula unit. The value obtained for the energy relative to the elements, uncorrected is -2872.5 meV/atom.

VASP calculation (PBE-GGA) on a relaxed structure of CaPr2Zn2.

It has space group R-3m (No. 166, hexagonal axes), with a = 5.2867 Å, b = 5.2867 Å, c = 16.8412 Å, α = 90.00°, β = 90.00° and γ = 120.00°. The distinct sites, in fractional coordinates, are Ca at (0.0000, 0.0000, 0.0000), Pr at (0.0000, 0.0000, 0.2270) and Zn at (0.0000, 0.0000, 0.4222).

The value obtained for the total energy is -0.2236 Ry/atom. Its density is 5.53 g/cm3. The calculation puts the spin magnetization at 0.00 μB per formula unit. Its distance to the lowest polymorph of the same formula is 0.00 eV per formula unit. The value obtained for the formation energy is -220 meV/atom.

VASP calculation (PBE-GGA) on a relaxed structure of Ag2SbRu.

It has space group I-42d (No. 122), with a = 7.737 Å, b = 7.737 Å, c = 5.269 Å, α = 90.00°, β = 90.00° and γ = 90.00°. The distinct sites, in fractional coordinates, are Ag at (0.241, 0.250, 0.125), Sb at (0.000, 0.000, 0.500) and Ru at (0.000, 0.000, 0.000).

The value obtained for the total energy is -0.3129 Ry/atom. Its density is 9.24 g/cm3. The calculation puts the spin magnetization at 0.88 μB per formula unit. The value obtained for the energy relative to the elements, uncorrected is 518.3 meV/atom.

VASP calculation (PBE-GGA) on a relaxed structure of V2GeC.

It has space group R3m (No. 160, hexagonal axes), with a = 2.9779 Å, b = 2.9779 Å, c = 18.6578 Å, α = 90.00°, β = 90.00° and γ = 120.00°. The distinct sites, in fractional coordinates, are V at (0.0000, 0.0000, 0.0000), V at (0.0000, 0.0000, 0.2158), Ge at (0.0000, 0.0000, 0.7756) and C at (0.0000, 0.0000, 0.6074).

The value obtained for the total energy is -0.6233 Ry/atom. Its density is 6.49 g/cm3. The calculation puts the spin magnetization at 0.00 μB per formula unit. Its distance to the lowest polymorph of the same formula is 0.12 eV per formula unit. The value obtained for the formation energy is -461 meV/atom.